First-principles (PBE) data for a relaxed structure of Ac7CuRh4, as listed in Alexandria.

Values from the calculation:
For the formation energy, the calculation gives -0.51 eV/atom. The calculation puts the calculated density at 9.02 g cm⁻³. The calculated total energy is -68.35 eV per formula unit. Its calculated volume is 31.68 A^3/atom. Its density of states at the Fermi level is 0.653 states/eV per atom. The magnetization is 0.0 μB/f.u. As for the symmetry: Cm, No. 8.

```
Ac7CuRh4
1.0
7.145 -2.112 0.000
7.145 2.112 0.000
-3.223 0.000 12.595
Ac Cu Rh
7 1 4
direct
0.000 0.000 0.000
0.223 0.223 0.859
0.308 0.308 0.436
0.515 0.515 0.288
0.611 0.611 0.592
0.768 0.768 0.143
0.921 0.921 0.698
0.146 0.146 0.223
0.266 0.266 0.645
0.379 0.379 0.072
0.568 0.568 0.831
0.961 0.961 0.455
```